TaV3C, relaxed, DFT PBE; DOS(E_F) = 6.7 states/eV/cell; M_tot = 4.3 μB/cell; calculated volume = 20.09 Å³/atom; DFT formation energy = 13.728 eV per formula unit; energy above the most stable polymorph in this dataset = 3038 meV/atom
1.0
4.648 0.000 0.000
0.000 4.648 0.000
0.000 0.000 4.648
Ta V C
1 3 1
direct
0.000 0.000 0.000
0.000 0.000 0.500
0.000 0.500 0.000
0.500 0.000 0.000
0.500 0.500 0.500

***

LiCaFe, relaxed, DFT PBE; DOS(E_F) = 5.8 states/eV/cell; M_tot = 1.7 μB/cell; calculated volume = 20.18 Å³/atom; DFT formation energy = 1.073 eV per formula unit; energy above the most stable polymorph in this dataset = 104 meV/atom
1.0
5.195 0.000 0.000
0.000 3.838 0.000
-1.128 0.000 6.072
Li Ca Fe
2 2 2
direct
0.091 0.250 0.391
0.909 0.750 0.609
0.450 0.750 0.782
0.550 0.250 0.218
0.017 0.750 0.078
0.983 0.250 0.922

***

NbGaI3, relaxed, DFT PBE; DOS(E_F) = 1.1 states/eV/cell; formation energy without anion corrections = 4 kJ per mole of atoms; M_tot = 3.0 μB/cell; calculated volume = 38.32 Å³/atom; energy above the most stable polymorph in this dataset = 0 meV/atom
1.0
5.765 0.000 0.000
0.000 5.765 0.000
0.000 0.000 5.765
Nb Ga I
1 1 3
direct
0.000 0.000 0.000
0.500 0.500 0.500
0.000 0.000 0.500
0.000 0.500 0.000
0.500 0.000 0.000

***

KNpI2O8, relaxed, DFT PBE; DOS(E_F) = 4.8 states/eV/cell; formation energy without anion corrections = -114 kJ per mole of atoms; M_tot = 2.0 μB/cell; calculated volume = 22.35 Å³/atom
1.0
6.465 0.000 0.000
-3.233 5.599 0.000
0.000 0.000 7.409
K Np I O
1 1 2 8
direct
0.000 0.000 0.000
0.000 0.000 0.500
0.333 0.667 0.314
0.667 0.333 0.686
0.153 0.306 0.328
0.153 0.847 0.328
0.306 0.153 0.672
0.333 0.667 0.074
0.667 0.333 0.926
0.694 0.847 0.328
0.847 0.153 0.672
0.847 0.694 0.672

***

KLiTb2F8, relaxed, DFT PBE; DOS(E_F) = 0.0 states/eV/cell; formation energy without anion corrections = -357 kJ per mole of atoms; M_tot = 0.0 μB/cell; calculated volume = 14.66 Å³/atom
1.0
5.947 0.000 0.000
0.000 3.916 0.000
-0.971 0.000 7.554
K Li Tb F
1 1 2 8
direct
0.000 0.000 0.000
0.000 0.000 0.500
0.458 0.500 0.741
0.542 0.500 0.259
0.210 0.000 0.708
0.273 0.500 0.465
0.287 0.500 0.988
0.359 0.000 0.240
0.641 0.000 0.760
0.713 0.500 0.012
0.727 0.500 0.535
0.790 0.000 0.292

***

HfFeBIr2, relaxed, DFT PBE; DOS(E_F) = 1.5 states/eV/cell; M_tot = 1.0 μB/cell; calculated volume = 13.58 Å³/atom; DFT formation energy = -2.740 eV per formula unit
1.0
4.114 0.000 0.000
0.000 4.114 0.000
0.000 0.000 4.011
Hf Fe B Ir
1 1 1 2
direct
0.000 0.000 0.000
0.500 0.500 0.000
0.500 0.500 0.500
0.000 0.500 0.500
0.500 0.000 0.500

***

Rb2AgH, relaxed, DFT PBE; M_tot = 0.0 μB/cell; calculated volume = 36.75 Å³/atom; energy above the most stable polymorph in this dataset = 0 meV/atom
1.0
2.288 1.321 8.107
-2.288 1.321 8.107
0.000 -2.642 8.107
Rb Ag H
2 1 1
direct
0.235 0.235 0.235
0.765 0.765 0.765
0.000 0.000 0.000
0.500 0.500 0.500

***

SrHoIn2Hg2, relaxed, DFT PBE; DOS(E_F) = 2.9 states/eV/cell; M_tot = 0.0 μB/cell; calculated volume = 27.76 Å³/atom; DFT formation energy = -2.626 eV per formula unit
1.0
4.963 0.000 0.000
-2.481 4.298 0.000
0.000 0.000 7.809
Sr Ho In Hg
1 1 2 2
direct
0.000 0.000 0.000
0.000 0.000 0.500
0.333 0.667 0.720
0.667 0.333 0.280
0.333 0.667 0.301
0.667 0.333 0.699

***

CaNd2Sn2Hg2, relaxed, DFT PBE; DOS(E_F) = 6.6 states/eV/cell; M_tot = 0.0 μB/cell; calculated volume = 29.66 Å³/atom; DFT formation energy = -2.433 eV per formula unit
1.0
2.540 1.467 9.288
-2.540 1.467 9.288
0.000 -2.933 9.288
Ca Nd Sn Hg
1 2 2 2
direct
0.000 0.000 0.000
0.131 0.131 0.131
0.869 0.869 0.869
0.265 0.265 0.265
0.735 0.735 0.735
0.425 0.425 0.425
0.575 0.575 0.575

***

KBa2Sr, relaxed, DFT PBE; DOS(E_F) = 4.4 states/eV/cell; M_tot = 0.0 μB/cell; calculated volume = 63.42 Å³/atom; DFT formation energy = 0.303 eV per formula unit; energy above the most stable polymorph in this dataset = 31 meV/atom
1.0
4.508 0.000 0.000
0.000 6.119 0.000
0.000 0.000 9.197
K Ba Sr
1 2 1
direct
0.000 0.000 0.000
0.000 0.000 0.490
0.500 0.500 0.739
0.500 0.500 0.255

***

HfTcS2Cl, relaxed, DFT PBE; DOS(E_F) = 5.1 states/eV/cell; formation energy without anion corrections = 26 kJ per mole of atoms; M_tot = 0.0 μB/cell; calculated volume = 19.72 Å³/atom; energy above the most stable polymorph in this dataset = 317 meV/atom
1.0
4.620 0.000 0.000
0.000 4.620 0.000
0.000 0.000 4.620
Hf Tc S Cl
1 1 2 1
direct
0.000 0.000 0.000
0.500 0.500 0.500
0.000 0.500 0.500
0.500 0.000 0.500
0.500 0.500 0.000

***

Ho3Zn, relaxed, DFT PBE; DOS(E_F) = 4.1 states/eV/cell; M_tot = 0.0 μB/cell; calculated volume = 26.82 Å³/atom; DFT formation energy = -0.646 eV per formula unit; energy above the most stable polymorph in this dataset = 0 meV/atom
1.0
3.542 0.000 0.000
0.000 3.542 0.000
0.000 0.000 8.551
Ho Zn
3 1
direct
0.000 0.000 0.000
0.500 0.500 0.292
0.500 0.500 0.708
0.000 0.000 0.500

***

- Which formula does entry 1 have?
  TaV3C

***

- Which value of calculated volume does entry 9 give?
  29.66 Å³/atom

***

- Which formula does entry 3 have?
  NbGaI3